! TaBeCd3 PBE optimized geometry; values from VASP
&SYSTEM
  ibrav = 0, nat = 5, ntyp = 3
/
ATOMIC_SPECIES
Be 9.01 Be.upf
Cd 112.41 Cd.upf
Ta 180.95 Ta.upf
ATOMIC_POSITIONS crystal
Be 0.0000 0.0000 0.0000
Cd 0.0000 0.5000 0.0000
Cd 0.0000 0.0000 0.5000
Cd 0.5000 0.0000 0.0000
Ta 0.5000 0.5000 0.5000
CELL_PARAMETERS angstrom
-3.1733 -1.3476 -2.9845
-1.2142 -3.3754 2.8152
-3.0412 2.7538 1.9901
! **Final energy**: -2.78 eV per atom
! **Symmetry**: No. 221
! **Formation enthalpy at 0 K**: 0.885 eV/atom
! **Total moment**: 0.0 μB per cell
! **Density of states at the Fermi level**: 3.08 states/eV/cell